(1)
## Be2CrSb (PBEsol)

Data for a geometry-optimized Be2CrSb structure.

The structure in POSCAR format:
```
Be2CrSb
1.0
3.7663 0.0000 0.0000
0.0000 3.7663 0.0000
0.0000 0.0000 3.6114
Be Cr Sb
2 1 1
direct
0.0000 0.5000 0.0000
0.5000 0.0000 0.0000
0.0000 0.0000 0.5000
0.5000 0.5000 0.5000
```

Energy relative to the elements, uncorrected: 0.342 eV/atom
Space group: No. 123
Calculated total energy: -5.358 eV per atom


(2)
## ScBeCr2 (PBEsol)

Data for a geometry-optimized ScBeCr2 structure.

The structure in POSCAR format:
```
ScBeCr2
1.0
1.5111 -2.0638 0.0000
1.5111 2.0638 0.0000
0.0000 0.0000 8.0934
Sc Be Cr
1 1 2
direct
0.0000 0.0000 0.0000
0.5000 0.5000 0.2755
0.0000 0.0000 0.4920
0.5000 0.5000 0.7164
```

Space group: No. 35
E_form: 0.372 eV per atom
Calculated total energy: -7.400 eV per atom


(3)
## ScBeCr (PBEsol)

Data for a geometry-optimized ScBeCr structure.

The structure in POSCAR format:
```
ScBeCr
1.0
4.0327 0.0000 0.0000
-2.0164 3.4924 0.0000
0.0000 0.0000 3.1679
Sc Be Cr
1 1 1
direct
0.0000 0.0000 0.0000
0.3333 0.6667 0.5000
0.6667 0.3333 0.5000
```

Space group: No. 187
E_form: 0.354 eV per atom
Calculated total energy: -6.595 eV per atom
Relative energy among the computed polymorphs: 10.8 meV per atom


(4)
## ScBe4Cr (PBEsol)

Data for a geometry-optimized ScBe4Cr structure.

The structure in POSCAR format:
```
ScBe4Cr
1.0
0.0000 3.1907 3.1907
3.1907 0.0000 3.1907
3.1907 3.1907 0.0000
Sc Be Cr
1 4 1
direct
0.0000 0.0000 0.0000
0.3764 0.3764 0.3764
0.3764 0.3764 0.8707
0.3764 0.8707 0.3764
0.8707 0.3764 0.3764
0.7500 0.7500 0.7500
```

Space group: No. 216
E_form: -0.085 eV per atom
Calculated total energy: -5.560 eV per atom


(5)
## Sc2BeCr (PBEsol)

Data for a geometry-optimized Sc2BeCr structure.

The structure in POSCAR format:
```
Sc2BeCr
1.0
1.5236 0.8796 8.3970
-1.5236 0.8796 8.3970
0.0000 -1.7593 8.3970
Sc Be Cr
2 1 1
direct
0.2490 0.2490 0.2490
0.7510 0.7510 0.7510
0.5000 0.5000 0.5000
0.0000 0.0000 0.0000
```

Space group: No. 166
E_form: 0.491 eV per atom
Calculated total energy: -6.372 eV per atom


(6)
## ScBeCr2 (PBEsol)

Data for a geometry-optimized ScBeCr2 structure.

The structure in POSCAR format:
```
ScBeCr2
1.0
2.5022 0.0000 0.0000
0.0000 2.5022 0.0000
0.0000 0.0000 7.8865
Sc Be Cr
1 1 2
direct
0.0000 0.0000 0.0000
0.0000 0.0000 0.5000
0.5000 0.5000 0.2941
0.5000 0.5000 0.7059
```

Space group: No. 123
E_form: 0.390 eV per atom
Calculated total energy: -7.382 eV per atom


| no. | density (g/cm³) | DOS at the Fermi energy (states/eV per atom) |
| --- | --- | --- |
| 1 | 6.22 | 0.3623 |
| 2 | 5.20 | 1.1664 |
| 3 | 3.94 | 0.9706 |
| 4 | 3.40 | 0.2391 |
| 5 | 3.71 | 1.0996 |
| 6 | 5.31 | 0.8219 |